Run P
A plane-wave DFT calculation with PBE was carried out for a geometry-optimized La3Br structure.

The calculation puts the theoretical density at 5.97 g/cm3.

abc: 3.7327 3.7327 11.1445
angles: 90.00 90.00 117.24
Last column: nearest neighbours and their distance in Å.
Positions (direct):
Br 0.0000 0.0000 0.0000  4 La 3.19
La 0.5000 0.5000 0.7734  2 Br 3.19
La 0.0000 0.0000 0.5000  10 La 3.61-3.89
La 0.5000 0.5000 0.2266  2 Br 3.19

=====

Run Q
A plane-wave DFT calculation with PBE was carried out for a geometry-optimized La3Br structure.

The calculation puts the theoretical density at 6.28 g/cm3.

abc: 7.5218 7.5218 4.6514
angles: 90.00 90.00 93.46
Last column: nearest neighbours and their distance in Å.
Positions (direct):
La 0.1121 0.8879 0.7500  8 La 3.38-3.75, 2 Br 3.63
La 0.8879 0.1121 0.2500  8 La 3.38-3.75, 2 Br 3.63
La 0.6049 0.8401 0.7500  3 Br 3.27-3.58, 2 La 3.47
La 0.3951 0.1599 0.2500  3 Br 3.27-3.58, 2 La 3.47
La 0.8401 0.6049 0.2500  3 Br 3.27-3.58, 2 La 3.47
La 0.1599 0.3951 0.7500  3 Br 3.27-3.58, 2 La 3.47
Br 0.6336 0.3664 0.7500  8 La 3.27-3.63
Br 0.3664 0.6336 0.2500  8 La 3.27-3.63

=====

Run R
A plane-wave DFT calculation with PBE was carried out for a geometry-optimized La3Br structure.

The calculation puts the theoretical density at 6.10 g/cm3.

abc: 10.9161 10.9162 10.9160
angles: 20.16 20.16 20.16
Last column: nearest neighbours and their distance in Å.
Positions (direct):
Br 0.0000 0.0000 0.0000  6 La 3.26
La 0.7417 0.7417 0.7417  3 Br 3.26
La 0.5000 0.5000 0.5000  12 La 3.68-3.82
La 0.2583 0.2583 0.2583  3 Br 3.26

=====

Run S
A plane-wave DFT calculation with PBE was carried out for a geometry-optimized La3Br structure.

The calculation puts the theoretical density at 6.47 g/cm3.

abc: 6.3843 6.3843 6.3843
angles: 135.17 135.17 65.26
Last column: nearest neighbours and their distance in Å.
Positions (direct):
Br 0.0000 0.0000 0.0000  12 La 3.44-3.63
La 0.2500 0.7500 0.5000  8 La 3.44-3.63, 4 Br 3.63
La 0.5000 0.5000 0.0000  4 Br 3.44, 8 La 3.63
La 0.7500 0.2500 0.5000  8 La 3.44-3.63, 4 Br 3.63

=====

Name the most stable of them. run R.

=====

Run P
A plane-wave DFT calculation with PBE was carried out for a geometry-optimized La3Br structure.

The calculation puts the theoretical density at 6.38 g/cm3.

abc: 6.3343 6.3343 6.3343
angles: 144.76 115.85 75.36
Last column: nearest neighbours and their distance in Å.
Positions (direct):
Br 0.9248 0.0000 0.9248  8 La 3.10-3.42
La 0.5628 0.5000 0.0628  2 Br 3.10, 2 La 3.32
La 0.9697 0.2968 0.6729  3 Br 3.26-3.42, 3 La 3.32-3.62
La 0.3761 0.7032 0.6729  3 Br 3.26-3.42, 3 La 3.32-3.62

=====

Run Q
A plane-wave DFT calculation with PBE was carried out for a geometry-optimized La3Br structure.

The calculation puts the theoretical density at 6.47 g/cm3.

abc: 6.0100 6.0100 3.6171
angles: 90.00 90.00 102.63
Last column: nearest neighbours and their distance in Å.
Positions (direct):
Br 0.0000 0.0000 0.0000  10 La 3.51-3.76, 2 Br 3.62
La 0.0000 0.5000 0.5000  8 La 3.51-3.76, 4 Br 3.51
La 0.5000 0.0000 0.5000  4 Br 3.51, 8 La 3.51-3.76
La 0.5000 0.5000 0.0000  10 La 3.51-3.62, 2 Br 3.76

=====

Run R
A plane-wave DFT calculation with PBE was carried out for a geometry-optimized La3Br structure.

The calculation puts the theoretical density at 6.30 g/cm3.

abc: 7.4761 7.4761 7.4761
angles: 152.38 137.22 51.69
Last column: nearest neighbours and their distance in Å.
Positions (direct):
Br 0.0000 0.0000 0.0000  8 La 3.26-3.35, 2 Br 3.57
La 0.7894 0.2894 0.5000  2 Br 3.35, 6 La 3.43-3.57
La 0.5000 0.5000 0.0000  4 Br 3.26, 2 La 3.57
La 0.2106 0.7106 0.5000  2 Br 3.35, 6 La 3.43-3.57

=====

Run S
A plane-wave DFT calculation with PBE was carried out for a geometry-optimized La3Br structure.

The calculation puts the theoretical density at 6.45 g/cm3.

abc: 3.6374 5.8038 6.0533
angles: 90.00 90.00 90.00
Last column: nearest neighbours and their distance in Å.
Positions (direct):
Br 0.0000 0.0000 0.9956  8 La 3.29-3.62, 2 Br 3.64
La 0.5000 0.0000 0.4487  2 Br 3.29, 6 La 3.47-3.64
La 0.5000 0.5000 0.8694  6 La 3.45-3.64, 4 Br 3.51
La 0.0000 0.5000 0.3530  10 La 3.45-3.64, 2 Br 3.62

=====

Name the most stable of them. run P.

=====

Run P
A plane-wave DFT calculation with PBE was carried out for a geometry-optimized La3Br structure.

The calculation puts the theoretical density at 6.79 g/cm3.

abc: 4.9523 4.9523 4.9523
angles: 90.00 90.00 90.00
Last column: nearest neighbours and their distance in Å.
Positions (direct):
Br 0.0000 0.0000 0.0000  12 La 3.50
La 0.0000 0.5000 0.5000  4 Br 3.50, 8 La 3.50
La 0.5000 0.0000 0.5000  8 La 3.50, 4 Br 3.50
La 0.5000 0.5000 0.0000  8 La 3.50, 4 Br 3.50

=====

Run Q
A plane-wave DFT calculation with PBE was carried out for a geometry-optimized La3Br structure.

The calculation puts the theoretical density at 6.26 g/cm3.

abc: 3.6738 3.6738 9.7621
angles: 90.00 90.00 90.00
Last column: nearest neighbours and their distance in Å.
Positions (direct):
Br 0.0000 0.0000 0.0000  8 La 3.48, 4 Br 3.67
La 0.5000 0.5000 0.2368  4 Br 3.48, 8 La 3.65-3.67
La 0.0000 0.0000 0.5000  12 La 3.65-3.67
La 0.5000 0.5000 0.7632  4 Br 3.48, 8 La 3.65-3.67

=====

Run R
A plane-wave DFT calculation with PBE was carried out for a geometry-optimized La3Br structure.

The calculation puts the theoretical density at 6.32 g/cm3.

abc: 6.4218 6.4218 6.4218
angles: 116.21 116.21 116.21
Last column: nearest neighbours and their distance in Å.
Positions (direct):
Br 0.0000 0.0000 0.0000  6 La 3.39
La 0.0000 0.5000 0.5000  4 La 3.39, 2 Br 3.39
La 0.5000 0.0000 0.5000  4 La 3.39, 2 Br 3.39
La 0.5000 0.5000 0.0000  2 Br 3.39, 4 La 3.39

=====

Name the most stable of them. run Q.

=====

Run P
A plane-wave DFT calculation with PBE was carried out for a geometry-optimized LaBr5 structure.

The calculation puts the theoretical density at 3.64 g/cm3.

abc: 7.9073 7.9073 7.8819
angles: 80.27 80.27 30.40
Last column: nearest neighbours and their distance in Å.
Positions (direct):
La 0.7501 0.7501 0.9490  5 Br 2.88-2.99
Br 0.0872 0.0872 0.1382  1 Br 2.39
Br 0.5926 0.5926 0.7946  1 La 2.88
Br 0.3272 0.3272 0.1526  2 La 2.99
Br 0.3163 0.3163 0.6924  2 La 2.95
Br 0.0931 0.0931 0.4399  1 Br 2.39

=====

Run Q
A plane-wave DFT calculation with PBE was carried out for a geometry-optimized LaBr5 structure.

The calculation puts the theoretical density at 5.37 g/cm3.

abc: 6.1766 6.1766 6.1766
angles: 60.00 60.00 60.00
Last column: nearest neighbours and their distance in Å.
Positions (direct):
La 0.0000 0.0000 0.0000  16 Br 3.62-3.78
Br 0.2500 0.2500 0.2500  12 Br 3.62, 4 La 3.78
Br 0.6254 0.6254 0.6254  6 Br 3.08-3.10
Br 0.6254 0.6254 0.1239  6 Br 3.08-3.10
Br 0.1239 0.6254 0.6254  6 Br 3.08-3.10
Br 0.6254 0.1239 0.6254  6 Br 3.08-3.10

=====

Run R
A plane-wave DFT calculation with PBE was carried out for a geometry-optimized LaBr5 structure.

The calculation puts the theoretical density at 3.08 g/cm3.

abc: 10.6126 10.6126 5.8894
angles: 90.00 90.00 154.08
Last column: nearest neighbours and their distance in Å.
Positions (direct):
La 0.0555 0.9445 0.0000  6 Br 2.94-3.01
Br 0.7866 0.2134 0.5000  2 Br 2.51
Br 0.6446 0.3554 0.0000  2 La 3.01
Br 0.3247 0.6753 0.5000  2 Br 2.51
Br 0.4664 0.5336 0.0000  2 La 3.01
Br 0.0554 0.9446 0.5000  2 La 2.94

=====

Name the most stable of them. run R.

=====

Run P
A plane-wave DFT calculation with PBE was carried out for a geometry-optimized La2Br structure.

The calculation puts the theoretical density at 5.19 g/cm3.

abc: 6.5181 6.5181 12.4482
angles: 90.00 90.00 120.00
Last column: nearest neighbours and their distance in Å.
Positions (direct):
Br 0.3333 0.6667 0.9571  3 La 3.19
Br 0.6667 0.3333 0.4571  3 La 3.19
Br 0.6667 0.3333 0.0429  3 La 3.19
Br 0.3333 0.6667 0.5429  3 La 3.19
La 0.0000 0.0000 0.0000  6 La 3.64, 6 Br 3.80
La 0.0000 0.0000 0.5000  6 La 3.64, 6 Br 3.80
La 0.8331 0.6661 0.2500  2 Br 3.19, 4 La 3.25-3.26
La 0.1669 0.3339 0.7500  2 Br 3.19, 4 La 3.25-3.26
La 0.3339 0.1669 0.2500  2 Br 3.19, 4 La 3.25-3.26
La 0.8331 0.1669 0.2500  2 Br 3.19, 4 La 3.25-3.26
La 0.1669 0.8331 0.7500  2 Br 3.19, 4 La 3.25-3.26
La 0.6661 0.8331 0.7500  2 Br 3.19, 4 La 3.25-3.26

=====

Run Q
A plane-wave DFT calculation with PBE was carried out for a geometry-optimized La2Br structure.

The calculation puts the theoretical density at 6.16 g/cm3.

abc: 5.1068 5.1068 3.6979
angles: 90.00 90.00 90.00
Last column: nearest neighbours and their distance in Å.
Positions (direct):
Br 0.0000 0.0000 0.0000  8 La 3.15
La 0.0000 0.5000 0.5000  4 Br 3.15
La 0.5000 0.0000 0.5000  4 Br 3.15

=====

Name the most stable of them. run Q.

=====

Run P
A plane-wave DFT calculation with PBE was carried out for a geometry-optimized La2Br structure.

The calculation puts the theoretical density at 6.38 g/cm3.

abc: 6.2522 6.2522 6.2522
angles: 106.15 106.15 116.34
Last column: nearest neighbours and their distance in Å.
Positions (direct):
Br 0.7500 0.7500 0.0000  8 La 3.29, 2 Br 3.30
Br 0.2500 0.2500 0.0000  8 La 3.29, 2 Br 3.30
La 0.3463 0.1537 0.5000  1 La 3.27, 4 Br 3.29
La 0.6537 0.8463 0.5000  1 La 3.27, 4 Br 3.29
La 0.1537 0.6537 0.8075  1 La 3.27, 4 Br 3.29
La 0.8463 0.3463 0.1925  1 La 3.27, 4 Br 3.29

=====

Run Q
A plane-wave DFT calculation with PBE was carried out for a geometry-optimized La2Br structure.

The calculation puts the theoretical density at 5.91 g/cm3.

abc: 8.6233 8.6233 6.0826
angles: 90.00 90.00 153.63
Last column: nearest neighbours and their distance in Å.
Positions (direct):
La 0.1560 0.8440 0.7500  4 Br 3.10-3.24
La 0.4586 0.5414 0.7500  2 Br 3.19, 2 La 3.34
La 0.5414 0.4586 0.2500  2 Br 3.19, 2 La 3.34
La 0.8440 0.1560 0.2500  4 Br 3.10-3.24
Br 0.8092 0.1908 0.7500  6 La 3.10-3.24
Br 0.1908 0.8092 0.2500  6 La 3.10-3.24

=====

Run R
A plane-wave DFT calculation with PBE was carried out for a geometry-optimized La2Br structure.

The calculation puts the theoretical density at 5.75 g/cm3.

abc: 3.9024 3.9024 7.8267
angles: 90.00 90.00 120.00
Last column: nearest neighbours and their distance in Å.
Positions (direct):
Br 0.0000 0.0000 0.0000  6 La 3.31
La 0.3333 0.6667 0.3106  3 Br 3.31
La 0.6667 0.3333 0.6894  3 Br 3.31

=====

Name the most stable of them. run P.

=====

Run P
A plane-wave DFT calculation with PBE was carried out for a geometry-optimized La2Br structure.

The calculation puts the theoretical density at 6.12 g/cm3.

abc: 5.1598 5.1598 5.1598
angles: 60.00 60.00 60.00
Last column: nearest neighbours and their distance in Å.
Positions (direct):
Br 0.0000 0.0000 0.0000  8 La 3.16
La 0.7500 0.7500 0.7500  4 Br 3.16
La 0.2500 0.2500 0.2500  4 Br 3.16

=====

Run Q
A plane-wave DFT calculation with PBE was carried out for a geometry-optimized La2Br structure.

The calculation puts the theoretical density at 5.90 g/cm3.

abc: 7.3855 7.3855 7.3855
angles: 90.00 90.00 90.00
Last column: nearest neighbours and their distance in Å.
Positions (direct):
Br 0.0000 0.0000 0.0000  6 La 3.04
Br 0.5000 0.5000 0.0000  6 La 3.04
Br 0.5000 0.0000 0.5000  6 La 3.04
Br 0.0000 0.5000 0.5000  6 La 3.04
La 0.6373 0.6373 0.3627  3 Br 3.04
La 0.3627 0.3627 0.6373  3 Br 3.04
La 0.1373 0.8627 0.6373  3 Br 3.04
La 0.8627 0.1373 0.3627  3 Br 3.04
La 0.3627 0.1373 0.1373  3 Br 3.04
La 0.6373 0.8627 0.8627  3 Br 3.04
La 0.8627 0.3627 0.8627  3 Br 3.04
La 0.1373 0.6373 0.1373  3 Br 3.04

=====

Name the most stable of them. run Q.

=====

Run P
A plane-wave DFT calculation with PBE was carried out for a geometry-optimized La2Br structure.

The calculation puts the theoretical density at 5.93 g/cm3.

abc: 3.8148 6.9492 7.5524
angles: 90.00 90.00 90.00
Last column: nearest neighbours and their distance in Å.
Positions (direct):
La 0.0000 0.1845 0.6445  3 Br 2.97-3.10
La 0.0000 0.8155 0.3555  3 Br 2.97-3.10
La 0.5000 0.6845 0.8555  3 Br 2.97-3.10
La 0.5000 0.3155 0.1445  3 Br 2.97-3.10
Br 0.0000 0.0000 0.0000  6 La 2.97-3.10
Br 0.5000 0.5000 0.5000  6 La 2.97-3.10

=====

Run Q
A plane-wave DFT calculation with PBE was carried out for a geometry-optimized La2Br structure.

The calculation puts the theoretical density at 6.05 g/cm3.

abc: 7.7212 7.7212 7.7212
angles: 152.47 152.47 39.32
Last column: nearest neighbours and their distance in Å.
Positions (direct):
Br 0.5000 0.5000 0.0000  8 La 3.41, 4 Br 3.67
La 0.1514 0.1514 0.0000  4 Br 3.41, 4 La 3.67
La 0.8486 0.8486 0.0000  4 Br 3.41, 4 La 3.67

=====

Name the most stable of them. run P.